## Zr2AgIr (PBE)

Data for crystalline Zr2AgIr at its relaxed geometry.

The space group is Imm2 (No. 44) and the conventional cell measures 3.457, 4.569 and 9.860 Å, with angles of 90.00, 90.00 and 90.00 degrees. The distinct sites, in fractional coordinates, are Zr at (0.000, 0.000, 0.000), Zr at (0.000, 0.500, 0.227), Ag at (0.000, 0.500, 0.774) and Ir at (0.000, 0.000, 0.513).

The calculation puts the magnetization at 0.00 μB/cell. The calculation puts the calculated formation energy at -0.30 eV per atom.